Entry 1:
## Na2PaBiO6 (PBE)

Data for an optimized crystal structure of Na2PaBiO6.

Uncorrected formation energy in eV/atom: -2.1179
Total moment in μB per cell: 0.0

Structure (CIF):
```
data_Na2PaBiO6
_chemical_formula_sum 'Na6 Pa3 Bi3 O18'
_space_group_name_H-M_alt 'R 3'
_space_group_IT_number 146
_space_group_name_Hall 'R 3'
_cell_length_a 5.8337
_cell_length_b 5.8337
_cell_length_c 14.8257
_cell_angle_alpha 90.00
_cell_angle_beta 90.00
_cell_angle_gamma 120.00
loop_
_atom_site_label
_atom_site_fract_x
_atom_site_fract_y
_atom_site_fract_z
Na1 0.0000 0.0000 0.0000
Na2 0.0000 0.0000 0.4989
Pa1 0.0000 0.0000 0.2292
Bi1 0.0000 0.0000 0.7290
O1 0.0764 0.3388 0.8074
O2 0.0786 0.7361 0.3079
```

Entry 2:
## Na2PaBiO5 (PBE)

Data for an optimized crystal structure of Na2PaBiO5.

Uncorrected formation energy in eV/atom: -2.0810
Total moment in μB per cell: 0.0

Structure (CIF):
```
data_Na2PaBiO5
_chemical_formula_sum 'Na2 Pa1 Bi1 O5'
_space_group_name_H-M_alt 'P 4/m m m'
_space_group_IT_number 123
_space_group_name_Hall '-P 4 2'
_cell_length_a 4.2088
_cell_length_b 4.2088
_cell_length_c 8.8765
_cell_angle_alpha 90.00
_cell_angle_beta 90.00
_cell_angle_gamma 90.00
loop_
_atom_site_label
_atom_site_fract_x
_atom_site_fract_y
_atom_site_fract_z
Na1 0.0000 0.0000 0.2384
Pa1 0.5000 0.5000 0.0000
Bi1 0.5000 0.5000 0.5000
O1 0.0000 0.0000 0.5000
O2 0.0000 0.5000 0.0000
O3 0.5000 0.5000 0.2492
```

Entry 3:
## NaPaBiO2 (PBE)

Data for an optimized crystal structure of NaPaBiO2.

Uncorrected formation energy in eV/atom: -2.1560
Total moment in μB per cell: 0.0

Structure (CIF):
```
data_NaPaBiO2
_chemical_formula_sum 'Na2 Pa2 Bi2 O4'
_space_group_name_H-M_alt 'I 4 m m'
_space_group_IT_number 107
_space_group_name_Hall 'I 4 -2'
_cell_length_a 3.9107
_cell_length_b 3.9107
_cell_length_c 13.7191
_cell_angle_alpha 90.00
_cell_angle_beta 90.00
_cell_angle_gamma 90.00
loop_
_atom_site_label
_atom_site_fract_x
_atom_site_fract_y
_atom_site_fract_z
Na1 0.0000 0.0000 0.0000
Pa1 0.0000 0.0000 0.3304
Bi1 0.0000 0.0000 0.6631
O1 0.0000 0.5000 0.3931
```

Entry 4:
## NaBiPb2O (PBE)

Data for an optimized crystal structure of NaBiPb2O.

Offset from the most stable computed form in kJ/mol of formula units: 308
Uncorrected formation energy in eV/atom: 0.0743
Total moment in μB per cell: 0.0

Structure (CIF):
```
data_NaBiPb2O
_chemical_formula_sum 'Na1 Bi1 Pb2 O1'
_space_group_name_H-M_alt 'P 4/m m m'
_space_group_IT_number 123
_space_group_name_Hall '-P 4 2'
_cell_length_a 6.2540
_cell_length_b 6.2540
_cell_length_c 4.3141
_cell_angle_alpha 90.00
_cell_angle_beta 90.00
_cell_angle_gamma 90.00
loop_
_atom_site_label
_atom_site_fract_x
_atom_site_fract_y
_atom_site_fract_z
Na1 0.0000 0.0000 0.0000
Bi1 0.5000 0.5000 0.5000
Pb1 0.0000 0.5000 0.5000
O1 0.5000 0.5000 0.0000
```

Entry 5:
## NaBiPb2O (PBE)

Data for an optimized crystal structure of NaBiPb2O.

Offset from the most stable computed form in kJ/mol of formula units: 0
Uncorrected formation energy in eV/atom: -0.5651
Total moment in μB per cell: 0.0

Structure (CIF):
```
data_NaBiPb2O
_chemical_formula_sum 'Na1 Bi1 Pb2 O1'
_space_group_name_H-M_alt 'P 4/m m m'
_space_group_IT_number 123
_space_group_name_Hall '-P 4 2'
_cell_length_a 5.1348
_cell_length_b 5.1348
_cell_length_c 4.7167
_cell_angle_alpha 90.00
_cell_angle_beta 90.00
_cell_angle_gamma 90.00
loop_
_atom_site_label
_atom_site_fract_x
_atom_site_fract_y
_atom_site_fract_z
Na1 0.0000 0.0000 0.0000
Bi1 0.5000 0.5000 0.0000
Pb1 0.0000 0.5000 0.5000
O1 0.0000 0.0000 0.5000
```

Entry 6:
## Na2BiPbO (PBE)

Data for an optimized crystal structure of Na2BiPbO.

Uncorrected formation energy in eV/atom: -0.6680
Total moment in μB per cell: 0.0

Structure (CIF):
```
data_Na2BiPbO
_chemical_formula_sum 'Na2 Bi1 Pb1 O1'
_space_group_name_H-M_alt 'P 4/m m m'
_space_group_IT_number 123
_space_group_name_Hall '-P 4 2'
_cell_length_a 4.6702
_cell_length_b 4.6702
_cell_length_c 5.1566
_cell_angle_alpha 90.00
_cell_angle_beta 90.00
_cell_angle_gamma 90.00
loop_
_atom_site_label
_atom_site_fract_x
_atom_site_fract_y
_atom_site_fract_z
Na1 0.0000 0.5000 0.0000
Bi1 0.0000 0.0000 0.5000
Pb1 0.5000 0.5000 0.5000
O1 0.5000 0.5000 0.0000
```

Which formula does entry 4 have?
NaBiPb2O

Which formula does entry 4 have?
NaBiPb2O

Look up the uncorrected formation energy of the fourth one.
0.0743 eV/atom

Please write out number 6 again, unchanged.
## Na2BiPbO (PBE)

Data for an optimized crystal structure of Na2BiPbO.

Uncorrected formation energy in eV/atom: -0.6680
Total moment in μB per cell: 0.0

Structure (CIF):
```
data_Na2BiPbO
_chemical_formula_sum 'Na2 Bi1 Pb1 O1'
_space_group_name_H-M_alt 'P 4/m m m'
_space_group_IT_number 123
_space_group_name_Hall '-P 4 2'
_cell_length_a 4.6702
_cell_length_b 4.6702
_cell_length_c 5.1566
_cell_angle_alpha 90.00
_cell_angle_beta 90.00
_cell_angle_gamma 90.00
loop_
_atom_site_label
_atom_site_fract_x
_atom_site_fract_y
_atom_site_fract_z
Na1 0.0000 0.5000 0.0000
Bi1 0.0000 0.0000 0.5000
Pb1 0.5000 0.5000 0.5000
O1 0.5000 0.5000 0.0000
```